No. 1
A plane-wave DFT calculation with PBE was carried out for crystalline K2ZnCd2 at its relaxed geometry.

The total energy comes out at -0.997 eV per atom. Its volume is 394.6 Å³ per cell. Its energy above the most stable polymorph in this dataset is 102 meV per atom. The value obtained for the formation energy is 0.0631 eV per atom. For the magnetization, the calculation gives 0.0 Bohr magnetons per cell.

Geometry as POSCAR:
```
K2ZnCd2
1.0
-2.469 2.469 16.177
2.469 -2.469 16.177
2.469 2.469 -16.177
K Zn Cd
4 2 4
Cartesian
2.469 1.235 -6.494
0.000 1.235 1.595
2.469 1.235 14.582
0.000 1.235 22.670
2.469 1.235 4.044
0.000 1.235 12.133
2.469 1.235 -2.854
0.000 1.235 5.235
2.469 1.235 10.942
0.000 1.235 19.030
```


No. 2
A plane-wave DFT calculation with PBE was carried out for crystalline KZn2Cd2 at its relaxed geometry.

The total energy comes out at -1.027 eV per atom. Its volume is 237.8 Å³ per cell. Its energy above the most stable polymorph in this dataset is 79 meV per atom. The value obtained for the formation energy is 0.0686 eV per atom. For the magnetization, the calculation gives 0.0 Bohr magnetons per cell.

Geometry as POSCAR:
```
KZn2Cd2
1.0
8.422 0.000 0.000
0.000 8.422 0.000
0.000 0.000 3.352
K Zn Cd
2 4 4
Cartesian
0.000 0.000 0.000
4.211 4.211 0.000
0.958 3.253 0.000
3.253 7.464 0.000
5.169 0.958 0.000
7.464 5.169 0.000
1.495 5.706 1.676
2.716 1.495 1.676
5.706 6.928 1.676
6.928 2.716 1.676
```


No. 3
A plane-wave DFT calculation with PBE was carried out for crystalline KZn2Cd2 at its relaxed geometry.

The total energy comes out at -1.051 eV per atom. Its volume is 226.8 Å³ per cell. Its energy above the most stable polymorph in this dataset is 54 meV per atom. The value obtained for the formation energy is 0.0442 eV per atom. For the magnetization, the calculation gives 0.0 Bohr magnetons per cell.

Geometry as POSCAR:
```
KZn2Cd2
1.0
8.893 0.000 0.000
0.000 8.893 0.000
0.000 0.000 2.868
K Zn Cd
2 4 4
Cartesian
0.000 0.000 0.000
4.446 4.446 0.000
1.366 3.080 1.434
3.080 7.527 1.434
5.813 1.366 1.434
7.527 5.813 1.434
1.231 5.677 0.000
3.216 1.231 0.000
5.677 7.662 0.000
7.662 3.216 0.000
```


No. 4
A plane-wave DFT calculation with PBE was carried out for crystalline K2ZnCd at its relaxed geometry.

The total energy comes out at -0.987 eV per atom. Its volume is 153.4 Å³ per cell. Its energy above the most stable polymorph in this dataset is 104 meV per atom. The value obtained for the formation energy is 0.1092 eV per atom. For the magnetization, the calculation gives 0.0 Bohr magnetons per cell.

Geometry as POSCAR:
```
K2ZnCd
1.0
0.000 4.249 4.249
4.249 0.000 4.249
4.249 4.249 0.000
K Zn Cd
2 1 1
Cartesian
2.124 2.124 2.124
6.373 6.373 6.373
0.000 0.000 0.000
4.249 4.249 4.249
```


No. 5
A plane-wave DFT calculation with PBE was carried out for crystalline K2ZnCd at its relaxed geometry.

The total energy comes out at -1.081 eV per atom. Its volume is 158.9 Å³ per cell. Its energy above the most stable polymorph in this dataset is 10 meV per atom. The value obtained for the formation energy is 0.0149 eV per atom. For the magnetization, the calculation gives 0.0 Bohr magnetons per cell.

Geometry as POSCAR:
```
K2ZnCd
1.0
5.092 0.000 0.000
0.000 4.996 0.000
-2.538 0.000 6.247
K Zn Cd
2 1 1
Cartesian
0.000 0.000 0.000
0.002 2.498 3.761
2.546 0.000 2.468
2.548 2.498 1.281
```


No. 6
A plane-wave DFT calculation with PBE was carried out for crystalline KZnCd3 at its relaxed geometry.

The total energy comes out at -0.416 eV per atom. Its volume is 310.0 Å³ per cell. Its energy above the most stable polymorph in this dataset is 642 meV per atom. The value obtained for the formation energy is 0.6075 eV per atom. For the magnetization, the calculation gives 0.0 Bohr magnetons per cell.

Geometry as POSCAR:
```
KZnCd3
1.0
6.768 0.000 0.000
0.000 6.768 0.000
0.000 0.000 6.768
K Zn Cd
1 1 3
Cartesian
0.000 0.000 0.000
3.384 3.384 3.384
0.000 0.000 3.384
0.000 3.384 0.000
3.384 0.000 0.000
```


No. 7
A plane-wave DFT calculation with PBE was carried out for crystalline K4ZnCd5 at its relaxed geometry.

The total energy comes out at -1.030 eV per atom. Its volume is 375.1 Å³ per cell. The value obtained for the formation energy is -0.0062 eV per atom. For the magnetization, the calculation gives 0.0 Bohr magnetons per cell.

Geometry as POSCAR:
```
K4ZnCd5
1.0
-5.194 5.194 3.476
5.194 -5.194 3.476
5.194 5.194 -3.476
K Zn Cd
4 1 5
Cartesian
7.189 0.660 0.000
0.660 3.199 0.000
4.534 1.995 3.476
-1.995 4.534 3.476
0.000 0.000 1.457
4.365 3.149 -0.055
2.045 -0.829 3.420
3.149 6.023 -0.055
0.829 2.045 3.420
0.000 0.000 5.626
```


No. 8
A plane-wave DFT calculation with PBE was carried out for crystalline KZn2Cd at its relaxed geometry.

The total energy comes out at -1.015 eV per atom. Its volume is 250.4 Å³ per cell. The value obtained for the formation energy is 0.1253 eV per atom. For the magnetization, the calculation gives 0.0 Bohr magnetons per cell.

Geometry as POSCAR:
```
KZn2Cd
1.0
-2.543 2.543 9.682
2.543 -2.543 9.682
2.543 2.543 -9.682
K Zn Cd
2 4 2
Cartesian
0.000 0.000 0.000
0.000 2.543 4.841
1.271 2.534 -2.421
2.552 1.271 2.421
1.271 0.009 7.262
-0.009 1.271 12.103
2.543 0.000 4.841
0.000 0.000 9.682
```


No. 9
A plane-wave DFT calculation with PBE was carried out for crystalline K2ZnCd at its relaxed geometry.

The total energy comes out at -0.895 eV per atom. Its volume is 165.5 Å³ per cell. Its energy above the most stable polymorph in this dataset is 196 meV per atom. The value obtained for the formation energy is 0.2006 eV per atom. For the magnetization, the calculation gives 0.1 Bohr magnetons per cell.

Geometry as POSCAR:
```
K2ZnCd
1.0
2.101 1.213 10.826
-2.101 1.213 10.826
0.000 -2.426 10.826
K Zn Cd
2 1 1
Cartesian
0.000 0.000 7.989
0.000 0.000 24.490
0.000 0.000 16.240
0.000 0.000 0.000
```


No. 10
A plane-wave DFT calculation with PBE was carried out for crystalline KZnCd4 at its relaxed geometry.

The total energy comes out at -0.923 eV per atom. Its volume is 160.6 Å³ per cell. The value obtained for the formation energy is 0.0824 eV per atom. For the magnetization, the calculation gives 0.0 Bohr magnetons per cell.

Geometry as POSCAR:
```
KZnCd4
1.0
0.000 4.314 4.314
4.314 0.000 4.314
4.314 4.314 0.000
K Zn Cd
1 1 4
Cartesian
0.000 0.000 0.000
6.471 6.471 6.471
3.239 3.239 3.239
5.389 5.389 3.239
5.389 3.239 5.389
3.239 5.389 5.389
```


No. 11
A plane-wave DFT calculation with PBE was carried out for crystalline KZn2Cd at its relaxed geometry.

The total energy comes out at -1.136 eV per atom. Its volume is 231.3 Å³ per cell. The value obtained for the formation energy is 0.0040 eV per atom. For the magnetization, the calculation gives 0.0 Bohr magnetons per cell.

Geometry as POSCAR:
```
KZn2Cd
1.0
2.297 -6.396 0.000
2.297 6.396 0.000
0.000 0.000 7.875
K Zn Cd
2 4 2
Cartesian
2.297 5.958 5.906
2.297 -5.958 1.969
2.297 3.134 0.667
2.297 3.134 3.271
2.297 -3.134 4.604
2.297 -3.134 7.208
2.297 2.418 5.906
2.297 -2.418 1.969
```


No. 12
A plane-wave DFT calculation with PBE was carried out for crystalline K2ZnCd at its relaxed geometry.

The total energy comes out at -1.091 eV per atom. Its volume is 168.4 Å³ per cell. Its energy above the most stable polymorph in this dataset is 0 meV per atom. The value obtained for the formation energy is 0.0047 eV per atom. For the magnetization, the calculation gives 0.0 Bohr magnetons per cell.

Geometry as POSCAR:
```
K2ZnCd
1.0
2.411 1.392 8.362
-2.411 1.392 8.362
0.000 -2.784 8.362
K Zn Cd
2 1 1
Cartesian
0.000 0.000 0.000
0.000 0.000 4.630
0.000 0.000 19.044
0.000 0.000 10.672
```


No. 13
A plane-wave DFT calculation with PBE was carried out for crystalline K2ZnCd at its relaxed geometry.

The total energy comes out at -0.983 eV per atom. Its volume is 151.0 Å³ per cell. Its energy above the most stable polymorph in this dataset is 109 meV per atom. The value obtained for the formation energy is 0.1134 eV per atom. For the magnetization, the calculation gives 0.0 Bohr magnetons per cell.

Geometry as POSCAR:
```
K2ZnCd
1.0
5.721 0.000 0.000
0.000 5.721 0.000
0.000 0.000 4.613
K Zn Cd
2 1 1
Cartesian
0.000 2.861 0.000
2.861 0.000 0.000
0.000 0.000 2.306
2.861 2.861 2.306
```


No. 14
A plane-wave DFT calculation with PBE was carried out for crystalline KZn2Cd at its relaxed geometry.

The total energy comes out at -1.150 eV per atom. Its volume is 115.8 Å³ per cell. The value obtained for the formation energy is -0.0100 eV per atom. For the magnetization, the calculation gives 0.0 Bohr magnetons per cell.

Geometry as POSCAR:
```
KZn2Cd
1.0
2.331 1.346 6.154
-2.331 1.346 6.154
0.000 -2.691 6.154
K Zn Cd
1 2 1
Cartesian
0.000 0.000 0.000
0.000 0.000 3.345
0.000 0.000 15.116
0.000 0.000 9.231
```


No. 15
A plane-wave DFT calculation with PBE was carried out for crystalline KZn2Cd at its relaxed geometry.

The total energy comes out at -1.040 eV per atom. Its volume is 102.2 Å³ per cell. The value obtained for the formation energy is 0.1005 eV per atom. For the magnetization, the calculation gives 0.0 Bohr magnetons per cell.

Geometry as POSCAR:
```
KZn2Cd
1.0
3.536 0.000 0.000
0.000 3.536 0.000
0.000 0.000 8.174
K Zn Cd
1 2 1
Cartesian
0.000 0.000 0.000
0.000 0.000 3.598
1.768 1.768 2.551
1.768 1.768 5.456
```


No. 16
A plane-wave DFT calculation with PBE was carried out for crystalline KZnCd11 at its relaxed geometry.

The total energy comes out at -0.981 eV per atom. Its volume is 308.0 Å³ per cell. The value obtained for the formation energy is -0.0244 eV per atom. For the magnetization, the calculation gives 0.0 Bohr magnetons per cell.

Geometry as POSCAR:
```
KZnCd11
1.0
2.966 -7.188 0.000
2.966 7.188 0.000
-2.945 0.000 7.222
K Zn Cd
1 1 11
Cartesian
0.000 0.000 0.000
1.494 0.000 3.611
-1.472 0.000 3.611
1.483 3.594 0.000
0.063 2.509 2.577
0.078 1.541 5.617
0.063 -2.509 2.577
2.909 1.541 1.606
1.483 -3.594 0.000
0.078 -1.541 5.617
2.924 2.509 4.646
2.909 -1.541 1.606
2.924 -2.509 4.646
```


No. 17
A plane-wave DFT calculation with PBE was carried out for crystalline KZn2Cd2 at its relaxed geometry.

The total energy comes out at -1.105 eV per atom. Its volume is 127.3 Å³ per cell. Its energy above the most stable polymorph in this dataset is 0 meV per atom. The value obtained for the formation energy is -0.0100 eV per atom. For the magnetization, the calculation gives 0.0 Bohr magnetons per cell.

Geometry as POSCAR:
```
KZn2Cd2
1.0
-2.324 2.324 5.890
2.324 -2.324 5.890
2.324 2.324 -5.890
K Zn Cd
1 2 2
Cartesian
0.000 0.000 0.000
0.000 0.000 4.602
0.000 0.000 7.179
2.324 0.000 2.945
0.000 2.324 2.945
```


No. 18
A plane-wave DFT calculation with PBE was carried out for crystalline KZn2Cd at its relaxed geometry.

The total energy comes out at -1.040 eV per atom. Its volume is 106.2 Å³ per cell. The value obtained for the formation energy is 0.1004 eV per atom. For the magnetization, the calculation gives 0.0 Bohr magnetons per cell.

Geometry as POSCAR:
```
KZn2Cd
1.0
3.488 0.000 0.000
0.000 4.395 0.000
-1.721 0.000 6.931
K Zn Cd
1 2 1
Cartesian
0.000 0.000 0.000
1.746 2.197 2.026
1.752 0.000 3.420
0.011 2.197 4.372
```


No. 19
A plane-wave DFT calculation with PBE was carried out for crystalline KZn4Cd at its relaxed geometry.

The total energy comes out at -1.078 eV per atom. Its volume is 122.1 Å³ per cell. The value obtained for the formation energy is 0.1066 eV per atom. For the magnetization, the calculation gives 0.0 Bohr magnetons per cell.

Geometry as POSCAR:
```
KZn4Cd
1.0
0.000 3.937 3.937
3.937 0.000 3.937
3.937 3.937 0.000
K Zn Cd
1 4 1
Cartesian
0.000 0.000 0.000
4.915 2.960 2.960
2.960 4.915 2.960
2.960 2.960 4.915
4.915 4.915 4.915
1.969 1.969 1.969
```


No. 20
A plane-wave DFT calculation with PBE was carried out for crystalline K2ZnCd2 at its relaxed geometry.

The total energy comes out at -0.953 eV per atom. Its volume is 193.4 Å³ per cell. Its energy above the most stable polymorph in this dataset is 146 meV per atom. The value obtained for the formation energy is 0.1069 eV per atom. For the magnetization, the calculation gives 0.0 Bohr magnetons per cell.

Geometry as POSCAR:
```
K2ZnCd2
1.0
-3.461 3.461 4.035
3.461 -3.461 4.035
3.461 3.461 -4.035
K Zn Cd
2 1 2
Cartesian
3.461 0.000 2.018
0.000 3.461 2.018
0.000 0.000 0.000
0.000 0.000 2.653
0.000 0.000 5.418
```